DFT (SCAN) results for a crystal of Na2CrReBr relaxed with PBEsol.

Summary:
Energy relative to the elements, uncorrected in kJ/mol of formula units: 567.0

```
5
Lattice="5.0706 0.0000 0.0000 0.0000 5.0005 0.0000 0.0000 0.0000 5.0005" Properties=species:S:1:pos:R:3 pbc="T T T"
Re 2.5353 2.5002 2.5002
Na 0.0000 0.0000 2.5002
Na 0.0000 2.5002 0.0000
Br 0.0000 0.0000 0.0000
Cr 2.5353 0.0000 0.0000
```

DFT (SCAN) results for a crystal of NbCr3Br relaxed with PBEsol.

Summary:
Energy relative to the elements, uncorrected in kJ/mol of formula units: 657.4

```
5
Lattice="4.2591 0.0000 0.0000 0.0000 4.2591 0.0000 0.0000 0.0000 4.2591" Properties=species:S:1:pos:R:3 pbc="T T T"
Cr 0.0000 2.1295 0.0000
Cr 0.0000 0.0000 2.1295
Cr 2.1295 0.0000 0.0000
Nb 2.1295 2.1295 2.1295
Br 0.0000 0.0000 0.0000
```

DFT (SCAN) results for a crystal of CrNi2Br relaxed with PBEsol.

Summary:
Energy relative to the elements, uncorrected in kJ/mol of formula units: 252.6

```
4
Lattice="3.6796 0.0000 0.0000 0.0000 3.6796 0.0000 -1.8398 -1.8398 3.8908" Properties=species:S:1:pos:R:3 pbc="T T T"
Br 1.8398 1.8398 0.0000
Cr 0.0000 0.0000 0.0000
Ni 1.8398 0.0000 1.9454
Ni 0.0000 1.8398 1.9454
```

DFT (SCAN) results for a crystal of CrNiBr4 relaxed with PBEsol.

Summary:
Energy relative to the elements, uncorrected in kJ/mol of formula units: 620.0

```
6
Lattice="-1.7987 -5.4803 -1.6550 1.5951 -2.1921 -5.3533 3.9716 -4.4852 -0.3431" Properties=species:S:1:pos:R:3 pbc="T T T"
Br 1.4118 -4.5554 -2.7545
Br 3.4025 -6.8034 -2.9265
Br 0.5103 -7.3022 -3.5841
Br 2.2114 -5.6541 -5.4378
Cr 2.8260 -9.1182 -5.5136
Ni 0.0000 0.0000 0.0000
```

DFT (SCAN) results for a crystal of CrNiPBr2 relaxed with PBEsol.

Summary:
Energy relative to the elements, uncorrected in kJ/mol of formula units: 321.8

```
5
Lattice="-3.3991 0.4540 2.9781 1.1458 -3.9577 1.9111 3.1337 2.4538 3.2026" Properties=species:S:1:pos:R:3 pbc="T T T"
Ni 0.0000 0.0000 0.0000
P 0.4402 -0.5250 4.0459
Br 0.5729 -1.9789 0.9556
Br -1.6995 0.2270 1.4890
Cr 1.5668 1.2269 1.6013
```

DFT (SCAN) results for a crystal of CrBr2O relaxed with PBEsol.

Summary:
Energy relative to the elements, uncorrected in kJ/mol of formula units: 80.8

```
4
Lattice="-2.6397 0.3877 3.5948 1.3339 -1.6444 3.9443 1.1317 2.7837 3.3183" Properties=species:S:1:pos:R:3 pbc="T T T"
Cr -0.0870 0.7635 5.4288
O 0.0000 0.0000 0.0000
Br -0.0435 0.3817 2.7144
Br -0.1305 1.1452 8.1431
```

DFT (SCAN) results for a crystal of Cr2PBrO4 relaxed with PBEsol.

Summary:
Energy relative to the elements, uncorrected in kJ/mol of formula units: -1605.4

```
32
Lattice="-0.8343 6.1481 -0.4318 -6.2167 -0.9935 0.7939 1.3079 0.9832 11.4722" Properties=species:S:1:pos:R:3 pbc="T T T"
Cr -1.0575 0.5227 10.4661
Cr -1.8347 3.3261 7.0921
Cr 0.1921 1.3089 4.5121
Cr -0.6094 4.0940 0.9251
Cr -4.6856 5.6150 1.3681
Cr -3.9084 2.8116 4.7422
Cr -5.1337 2.0437 10.9092
Cr -5.9352 4.8288 7.3221
Br -2.2298 6.2074 7.5794
Br -1.6066 3.2882 9.6025
Br -4.1365 2.8495 2.2317
Br -3.5133 -0.0697 4.2549
O -4.3177 1.8620 9.1472
O -4.7427 4.9301 8.8620
O -1.0004 1.2076 2.9723
O -1.4254 4.2757 2.6871
O -5.1235 0.5987 7.1060
O -0.6196 5.5390 4.7282
O -5.0477 4.0434 11.2140
O -0.6954 2.0943 0.6203
O -1.9917 3.4295 5.0192
O -3.7514 2.7082 6.8151
O -3.6858 6.1450 10.8324
O -2.0573 -0.0073 1.0018
O -5.8395 2.2898 4.9713
O -6.6087 5.0992 1.6674
O 0.0964 3.8479 6.8630
O 0.8656 1.0385 10.1669
P -0.8374 0.8315 1.5257
P -4.8069 1.9929 7.7314
P -0.9362 4.1448 4.1028
P -4.9057 5.3062 10.3086
```

DFT (SCAN) results for a crystal of CrSeBr2O relaxed with PBEsol.

Summary:
Energy relative to the elements, uncorrected in kJ/mol of formula units: 131.0

```
5
Lattice="4.5799 0.0000 0.0000 0.0000 5.0277 0.0000 0.0000 0.0000 5.0277" Properties=species:S:1:pos:R:3 pbc="T T T"
O 2.2900 2.5138 2.5138
Cr 0.0000 0.0000 0.0000
Se 2.2900 0.0000 0.0000
Br 0.0000 0.0000 2.5138
Br 0.0000 2.5138 0.0000
```

DFT (SCAN) results for a crystal of CrSiBr2O relaxed with PBEsol.

Summary:
Energy relative to the elements, uncorrected in kJ/mol of formula units: 228.8

```
5
Lattice="4.8487 0.0000 0.0000 0.0000 4.7791 0.0000 0.0000 0.0000 4.7791" Properties=species:S:1:pos:R:3 pbc="T T T"
Cr 0.0000 0.0000 0.0000
Si 2.4243 0.0000 0.0000
O 2.4243 2.3895 2.3895
Br 0.0000 0.0000 2.3895
Br 0.0000 2.3895 0.0000
```

DFT (SCAN) results for a crystal of CrOs2Br relaxed with PBEsol.

Summary:
Energy above the lowest structure with this stoichiometry in eV per atom: 0.078
Energy relative to the elements, uncorrected in kJ/mol of formula units: 371.0

```
4
Lattice="-0.7732 -0.2727 -2.6534 0.8087 -2.2453 1.4204 -8.8230 -1.4566 2.7207" Properties=species:S:1:pos:R:3 pbc="T T T"
Br -4.0626 -0.6707 1.2528
Cr -2.1028 -1.6091 0.0374
Os -0.1422 -0.0235 0.0438
Os -6.8914 -2.3996 1.5140
```

DFT (SCAN) results for a crystal of CrOsBr2 relaxed with PBEsol.

Summary:
Energy above the lowest structure with this stoichiometry in eV per atom: 0.161
Energy relative to the elements, uncorrected in kJ/mol of formula units: 417.2

```
4
Lattice="3.7138 0.0000 0.0000 0.0000 3.7138 0.0000 -1.8569 -1.8569 5.2422" Properties=species:S:1:pos:R:3 pbc="T T T"
Br 0.0000 0.0000 0.0000
Br 1.8569 0.0000 2.6211
Cr 1.8569 1.8569 0.0000
Os 0.0000 1.8569 2.6211
```

DFT (SCAN) results for a crystal of Cr2OsBr relaxed with PBEsol.

Summary:
Energy above the lowest structure with this stoichiometry in eV per atom: 0.000
Energy relative to the elements, uncorrected in kJ/mol of formula units: 280.9

```
4
Lattice="-0.5323 1.8775 2.0516 -3.2805 -1.7111 2.6686 3.6956 -1.7239 4.4905" Properties=species:S:1:pos:R:3 pbc="T T T"
Br 0.2075 -1.7175 3.5795
Cr 1.1466 -1.9614 6.0003
Cr -1.2639 0.4039 3.2103
Os -0.2662 0.9387 1.0258
```

Looking at mass density for the records above, in order, we have 4.77; 7.07; 7.86; 4.68; 4.75; 5.96; 4.05; 4.40; 3.84; 13.54; 9.23; 8.58 g cm⁻³.
Looking at total magnetization for the records above, in order, we have 8.38; 5.80; 4.61; 5.46; 2.03; 2.00; 32.00; 4.02; 4.00; 2.43; 2.61; 0.00 μB per cell.